PrPuGe4 after structural relaxation. Source: the Alexandria database, functional PBE-GGA.

The total moment comes out at 1.118 μB/atom. Its energy is -6.603 eV/atom.

Cell and atoms, written as CIF:
```
data_PrPuGe4
_space_group_name_H-M_alt 'F -4 3 m'
_space_group_IT_number 216
_space_group_name_Hall 'F -4 2 3'
_cell_length_a 8.003
_cell_length_b 8.003
_cell_length_c 8.003
_cell_angle_alpha 90.00
_cell_angle_beta 90.00
_cell_angle_gamma 90.00
loop_
_atom_site_label
_atom_site_fract_x
_atom_site_fract_y
_atom_site_fract_z
Pr1 0.000 0.000 0.000
Pu1 0.250 0.250 0.250
Ge1 0.124 0.124 0.624
```